## P
## CeNd6Tl5 (GGA-PBE)

Data for CeNd6Tl5 after structural relaxation.

Cell lengths 7.9903, 7.9903, 6.2417 Å; angles 99.62, 99.62, 96.47 degrees
Atoms (fractional coordinates):
1 Ce 0.0000 0.0000 0.0000
2 Nd 0.0929 0.4603 0.2702
3 Nd 0.2796 0.2796 0.7826
4 Nd 0.4603 0.0929 0.2702
5 Nd 0.5397 0.9071 0.7298
6 Nd 0.7204 0.7204 0.2174
7 Nd 0.9071 0.5397 0.7298
8 Tl 0.1326 0.8674 0.5000
9 Tl 0.2973 0.7027 0.0000
10 Tl 0.5000 0.5000 0.5000
11 Tl 0.7027 0.2973 0.0000
12 Tl 0.8674 0.1326 0.5000

V, Å³ per atom: 31.94
Magnetization, μB/cell: 1.8
Space group: No. 12

=====

## Q
## CeNd6Tl5 (GGA-PBE)

Data for CeNd6Tl5 after structural relaxation.

Cell lengths 9.4008, 9.4008, 9.4008 Å; angles 148.12, 123.29, 66.55 degrees
Atoms (fractional coordinates):
1 Ce 0.0000 0.0000 0.0000
2 Nd 0.0863 0.8292 0.2570
3 Nd 0.2655 0.5000 0.7655
4 Nd 0.4278 0.1708 0.2570
5 Nd 0.5722 0.8292 0.7430
6 Nd 0.7345 0.5000 0.2345
7 Nd 0.9137 0.1708 0.7430
8 Tl 0.1519 0.6519 0.5000
9 Tl 0.3285 0.3285 0.0000
10 Tl 0.5000 0.0000 0.5000
11 Tl 0.6715 0.6715 0.0000
12 Tl 0.8481 0.3481 0.5000

V, Å³ per atom: 30.20
Magnetization, μB/cell: 2.0
Space group: No. 71

=====

Most stable one: Q, least stable one: P.

=====

## P
## Ce2NdTm (GGA-PBE)

Data for Ce2NdTm after structural relaxation.

Cell lengths 8.0140, 8.0140, 8.0140 Å; angles 90.00, 90.00, 90.00 degrees
Atoms (fractional coordinates):
1 Ce 0.2500 0.2500 0.2500
2 Ce 0.2500 0.2500 0.7500
3 Ce 0.2500 0.7500 0.2500
4 Ce 0.2500 0.7500 0.7500
5 Ce 0.7500 0.2500 0.2500
6 Ce 0.7500 0.2500 0.7500
7 Ce 0.7500 0.7500 0.2500
8 Ce 0.7500 0.7500 0.7500
9 Nd 0.0000 0.0000 0.0000
10 Nd 0.0000 0.5000 0.5000
11 Nd 0.5000 0.0000 0.5000
12 Nd 0.5000 0.5000 0.0000
13 Tm 0.0000 0.0000 0.5000
14 Tm 0.0000 0.5000 0.0000
15 Tm 0.5000 0.0000 0.0000
16 Tm 0.5000 0.5000 0.5000

V, Å³ per atom: 32.17
Magnetization, μB/cell: 9.3
Space group: No. 225

=====

## Q
## Ce2NdTm (GGA-PBE)

Data for Ce2NdTm after structural relaxation.

Cell lengths 3.3647, 3.3647, 37.2046 Å; angles 90.00, 90.00, 120.00 degrees
Atoms (fractional coordinates):
1 Ce 0.0000 0.0000 0.0840
2 Ce 0.0000 0.0000 0.9160
3 Ce 0.3333 0.6667 0.5826
4 Ce 0.3333 0.6667 0.7507
5 Ce 0.6667 0.3333 0.2493
6 Ce 0.6667 0.3333 0.4174
7 Nd 0.0000 0.0000 0.5000
8 Nd 0.3333 0.6667 0.1667
9 Nd 0.6667 0.3333 0.8333
10 Tm 0.0000 0.0000 0.0000
11 Tm 0.3333 0.6667 0.6667
12 Tm 0.6667 0.3333 0.3333

V, Å³ per atom: 30.40
Magnetization, μB/cell: 4.8
Space group: No. 166

=====

## R
## Ce2NdTm (GGA-PBE)

Data for Ce2NdTm after structural relaxation.

Cell lengths 3.4828, 3.4828, 10.1831 Å; angles 90.00, 90.00, 90.00 degrees
Atoms (fractional coordinates):
1 Ce 0.0000 0.0000 0.2448
2 Ce 0.0000 0.0000 0.7552
3 Nd 0.5000 0.5000 0.5000
4 Tm 0.5000 0.5000 0.0000

V, Å³ per atom: 30.88
Magnetization, μB/cell: 1.6
Space group: No. 123

=====

Most stable one: R, least stable one: P.

=====

## P
## Ce2NdTm (GGA-PBE)

Data for Ce2NdTm after structural relaxation.

Cell lengths 4.9135, 4.9135, 5.1042 Å; angles 90.00, 90.00, 90.00 degrees
Atoms (fractional coordinates):
1 Ce 0.0000 0.5000 0.0000
2 Ce 0.5000 0.0000 0.0000
3 Nd 0.0000 0.0000 0.5000
4 Tm 0.5000 0.5000 0.5000

V, Å³ per atom: 30.81
Magnetization, μB/cell: 1.7
Space group: No. 123

=====

## Q
## Ce2NdTm (GGA-PBE)

Data for Ce2NdTm after structural relaxation.

Cell lengths 3.5040, 3.5040, 34.7835 Å; angles 90.00, 90.00, 120.00 degrees
Atoms (fractional coordinates):
1 Ce 0.0000 0.0000 0.0000
2 Ce 0.0000 0.0000 0.1618
3 Ce 0.3333 0.6667 0.6667
4 Ce 0.3333 0.6667 0.8285
5 Ce 0.6667 0.3333 0.3333
6 Ce 0.6667 0.3333 0.4951
7 Nd 0.0000 0.0000 0.5829
8 Nd 0.3333 0.6667 0.2495
9 Nd 0.6667 0.3333 0.9162
10 Tm 0.0000 0.0000 0.4138
11 Tm 0.3333 0.6667 0.0805
12 Tm 0.6667 0.3333 0.7472

V, Å³ per atom: 30.82
Magnetization, μB/cell: 4.9
Space group: No. 160

=====

Most stable one: Q, least stable one: P.

=====

## P
## CeNdTm3 (GGA-PBE)

Data for CeNdTm3 after structural relaxation.

Cell lengths 6.1122, 6.1347, 9.3320 Å; angles 108.84, 102.62, 99.88 degrees
Atoms (fractional coordinates):
1 Ce 0.2406 0.1916 0.1442
2 Ce 0.7594 0.8084 0.8558
3 Nd 0.2465 0.7990 0.3468
4 Nd 0.7535 0.2010 0.6532
5 Tm 0.2521 0.5986 0.9492
6 Tm 0.2523 0.9954 0.7531
7 Tm 0.2533 0.4029 0.5499
8 Tm 0.7467 0.5971 0.4501
9 Tm 0.7477 0.0046 0.2469
10 Tm 0.7479 0.4014 0.0508

V, Å³ per atom: 31.19
Magnetization, μB/cell: 2.3
Space group: No. 2

=====

## Q
## CeNdTm3 (GGA-PBE)

Data for CeNdTm3 after structural relaxation.

Cell lengths 9.9684, 3.5262, 17.5434 Å; angles 90.00, 90.00, 90.00 degrees
Atoms (fractional coordinates):
1 Ce 0.1186 0.2500 0.0484
2 Ce 0.3814 0.7500 0.5484
3 Ce 0.6186 0.2500 0.4516
4 Ce 0.8814 0.7500 0.9516
5 Nd 0.1252 0.2500 0.6484
6 Nd 0.3748 0.7500 0.1484
7 Nd 0.6252 0.2500 0.8516
8 Nd 0.8748 0.7500 0.3516
9 Tm 0.1218 0.2500 0.8511
10 Tm 0.1271 0.2500 0.2496
11 Tm 0.1312 0.2500 0.4505
12 Tm 0.3688 0.7500 0.9505
13 Tm 0.3729 0.7500 0.7496
14 Tm 0.3782 0.7500 0.3511
15 Tm 0.6218 0.2500 0.6489
16 Tm 0.6271 0.2500 0.2504
17 Tm 0.6312 0.2500 0.0495
18 Tm 0.8688 0.7500 0.5495
19 Tm 0.8729 0.7500 0.7504
20 Tm 0.8782 0.7500 0.1489

V, Å³ per atom: 30.83
Magnetization, μB/cell: 2.6
Space group: No. 62

=====

Most stable one: Q, least stable one: P.

=====

## P
## CeNdY2 (GGA-PBE)

Data for CeNdY2 after structural relaxation.

Cell lengths 3.5776, 3.5776, 34.9215 Å; angles 90.00, 90.00, 120.00 degrees
Atoms (fractional coordinates):
1 Ce 0.0000 0.0000 0.0000
2 Ce 0.3333 0.6667 0.6667
3 Ce 0.6667 0.3333 0.3333
4 Nd 0.0000 0.0000 0.5000
5 Nd 0.3333 0.6667 0.1667
6 Nd 0.6667 0.3333 0.8333
7 Y 0.0000 0.0000 0.2519
8 Y 0.0000 0.0000 0.7481
9 Y 0.3333 0.6667 0.4148
10 Y 0.3333 0.6667 0.9186
11 Y 0.6667 0.3333 0.0814
12 Y 0.6667 0.3333 0.5852

V, Å³ per atom: 32.26
Magnetization, μB/cell: 2.3
Space group: No. 166

=====

## Q
## CeNdY2 (GGA-PBE)

Data for CeNdY2 after structural relaxation.

Cell lengths 3.5783, 3.5783, 10.1237 Å; angles 90.00, 90.00, 90.00 degrees
Atoms (fractional coordinates):
1 Ce 0.0000 0.0000 0.0000
2 Nd 0.0000 0.0000 0.5000
3 Y 0.5000 0.5000 0.2410
4 Y 0.5000 0.5000 0.7590

V, Å³ per atom: 32.41
Magnetization, μB/cell: 0.7
Space group: No. 123

=====

Most stable one: P, least stable one: Q.

=====

## P
## CeNdY2 (GGA-PBE)

Data for CeNdY2 after structural relaxation.

Cell lengths 5.0893, 5.0893, 5.0369 Å; angles 90.00, 90.00, 90.00 degrees
Atoms (fractional coordinates):
1 Ce 0.0000 0.0000 0.0000
2 Nd 0.5000 0.5000 0.0000
3 Y 0.0000 0.5000 0.5000
4 Y 0.5000 0.0000 0.5000

V, Å³ per atom: 32.61
Magnetization, μB/cell: 0.7
Space group: No. 123

=====

## Q
## CeNdY2 (GGA-PBE)

Data for CeNdY2 after structural relaxation.

Cell lengths 3.5862, 3.5862, 34.8429 Å; angles 90.00, 90.00, 120.00 degrees
Atoms (fractional coordinates):
1 Ce 0.0000 0.0000 0.0000
2 Ce 0.3333 0.6667 0.6667
3 Ce 0.6667 0.3333 0.3333
4 Nd 0.0000 0.0000 0.1660
5 Nd 0.3333 0.6667 0.8326
6 Nd 0.6667 0.3333 0.4993
7 Y 0.0000 0.0000 0.4142
8 Y 0.0000 0.0000 0.5857
9 Y 0.3333 0.6667 0.0809
10 Y 0.3333 0.6667 0.2523
11 Y 0.6667 0.3333 0.7475
12 Y 0.6667 0.3333 0.9190

V, Å³ per atom: 32.34
Magnetization, μB/cell: 2.0
Space group: No. 160

=====

## R
## CeNdY2 (GGA-PBE)

Data for CeNdY2 after structural relaxation.

Cell lengths 8.1011, 8.1011, 8.1011 Å; angles 90.00, 90.00, 90.00 degrees
Atoms (fractional coordinates):
1 Ce 0.0000 0.0000 0.0000
2 Ce 0.0000 0.5000 0.5000
3 Ce 0.5000 0.0000 0.5000
4 Ce 0.5000 0.5000 0.0000
5 Nd 0.0000 0.0000 0.5000
6 Nd 0.0000 0.5000 0.0000
7 Nd 0.5000 0.0000 0.0000
8 Nd 0.5000 0.5000 0.5000
9 Y 0.2500 0.2500 0.2500
10 Y 0.2500 0.2500 0.7500
11 Y 0.2500 0.7500 0.2500
12 Y 0.2500 0.7500 0.7500
13 Y 0.7500 0.2500 0.2500
14 Y 0.7500 0.2500 0.7500
15 Y 0.7500 0.7500 0.2500
16 Y 0.7500 0.7500 0.7500

V, Å³ per atom: 33.23
Magnetization, μB/cell: 3.4
Space group: No. 225

=====

Most stable one: Q, least stable one: R.